Here is Tb2Tl3AgSe6 after structural relaxation from Alexandria. Energies are from PBE.

**Raw formation energy**: -913 meV per atom
**Uncorrected energy**: -51.072 eV per cell
**Crystal system**: monoclinic

```
12
Lattice="7.233 0.011 0.002 -3.606 6.271 0.002 -1.208 -2.092 7.365" Properties=species:S:1:pos:R:3 pbc="T T T"
Tb 0.019 4.177 0.002
Tb 3.609 2.104 0.002
Tl -2.301 4.122 3.684
Tl 4.720 0.067 3.684
Tl 1.210 2.094 3.684
Ag 0.000 0.000 0.000
Se 3.611 2.121 5.810
Se 2.391 4.140 1.665
Se -1.191 2.068 1.559
Se 0.033 4.187 5.810
Se 0.028 0.049 5.703
Se 2.387 0.002 1.559
```

---

Here is BaLa2Cu after structural relaxation from Alexandria. Energies are from PBE.

**Energy of formation from the pure elements**: 0.0264 eV/atom
**Uncorrected energy**: -15.768 eV per cell
**Crystal system**: tetragonal
**Polymorph energy (0 for the lowest one)**: 0.010 eV per atom

```
4
Lattice="-1.201 -3.465 1.140 0.046 -1.214 -3.643 8.960 -2.766 1.034" Properties=species:S:1:pos:R:3 pbc="T T T"
Ba 4.967 -1.533 0.573
Cu 6.523 -4.531 -0.432
La 8.482 -2.619 0.979
La 1.272 -2.910 -1.038
```

---

- Among the records above, which one has the highest uncorrected energy?
  BaLa2Cu

---

- Which of these has the lowest uncorrected energy?
  Tb2Tl3AgSe6